# 1
DFT (SCAN) results for a PBEsol-optimized structure of GeRh3I.

Output
- E: -151.14 eV for the cell shown
- N(E_F): 4.94 states/eV per cell
- Space group: Pm-3m, No. 221
- Energy relative to the lowest polymorph listed for this composition: 541.4 meV per atom
- Size of the total moment: 0.967 Bohr magnetons per cell
- Crystal system: cubic
- Theoretical density: 7824 kg/m³
- Formation energy without anion corrections: 1.20 eV/atom

a = 4.7603 Å, b = 4.7603 Å, c = 4.7603 Å
α = 90.00°, β = 90.00°, γ = 90.00°
Each line ends with the local moment (μB).
Fractional positions:
1 I 0.0000 0.0000 0.0000  0.01
2 Ge 0.5000 0.5000 0.5000  0.00
3 Rh 0.0000 0.5000 0.0000  0.33
4 Rh 0.0000 0.0000 0.5000  0.33
5 Rh 0.5000 0.0000 0.0000  0.33

# 2
DFT (SCAN) results for a PBEsol-optimized structure of Ge2S3I2.

Output
- E: -571.39 eV for the cell shown
- N(E_F): 0.00 states/eV per cell
- Space group: P-3, No. 147
- Size of the total moment: 0.000 Bohr magnetons per cell
- Crystal system: trigonal
- Theoretical density: 3538 kg/m³
- Formation energy without anion corrections: -0.33 eV/atom

a = 9.4506 Å, b = 10.6593 Å, c = 10.6593 Å
α = 120.00°, β = 90.00°, γ = 90.00°
Fractional positions:
1 Ge 0.2319 0.1811 0.4605
2 Ge 0.2319 0.5395 0.7206
3 Ge 0.0636 0.6667 0.3333
4 Ge 0.7681 0.8189 0.5395
5 Ge 0.7681 0.4605 0.2794
6 Ge 0.7681 0.7206 0.1811
7 Ge 0.9364 0.3333 0.6667
8 Ge 0.2319 0.2794 0.8189
9 S 0.3218 0.3919 0.5015
10 S 0.0020 0.8328 0.5577
11 S 0.0020 0.4423 0.2751
12 S 0.0020 0.7249 0.1672
13 S 0.9980 0.5577 0.7249
14 S 0.9980 0.2751 0.8328
15 S 0.9980 0.1672 0.4423
16 S 0.6782 0.8904 0.3919
17 S 0.3218 0.4985 0.8904
18 S 0.3218 0.1096 0.6081
19 S 0.6782 0.6081 0.4985
20 S 0.6782 0.5015 0.1096
21 I 0.3184 0.9999 0.2117
22 I 0.3184 0.2118 0.0001
23 I 0.6816 0.0001 0.7883
24 I 0.6816 0.2117 0.2118
25 I 0.6816 0.7882 0.9999
26 I 0.6712 0.3333 0.6667
27 I 0.3288 0.6667 0.3333
28 I 0.3184 0.7883 0.7882

# 3
DFT (SCAN) results for a PBEsol-optimized structure of GeTe2SI.

Output
- E: -135.86 eV for the cell shown
- N(E_F): 4.89 states/eV per cell
- Space group: P4/mmm, No. 123
- Size of the total moment: 1.295 Bohr magnetons per cell
- Crystal system: tetragonal
- Theoretical density: 5355 kg/m³
- Formation energy without anion corrections: 0.82 eV/atom

a = 5.3619 Å, b = 5.3619 Å, c = 5.2512 Å
α = 90.00°, β = 90.00°, γ = 90.00°
Each line ends with the local moment (μB).
Fractional positions:
1 I 0.0000 0.0000 0.5000  -0.01
2 Ge 0.0000 0.0000 0.0000  0.00
3 Te 0.0000 0.5000 0.0000  0.05
4 Te 0.5000 0.0000 0.0000  0.05
5 S 0.5000 0.5000 0.5000  0.74